# 1
# meta-GGA SCAN HfB2AuC, single point on PBEsol structure
data_HfB2AuC
_chemical_formula_sum 'Hf1 B2 Au1 C1'
_symmetry_space_group_name_H-M 'P 4/m m m'
_symmetry_Int_Tables_number 123
_symmetry_space_group_name_Hall '-P 4 2'
_cell_length_a 4.4006
_cell_length_b 4.4006
_cell_length_c 4.1350
_cell_angle_alpha 90.00
_cell_angle_beta 90.00
_cell_angle_gamma 90.00
loop_
_atom_site_label
_atom_site_type_symbol
_atom_site_fract_x
_atom_site_fract_y
_atom_site_fract_z
Hf1 Hf 0.0000 0.0000 0.0000
B1 B 0.0000 0.5000 0.0000
Au1 Au 0.5000 0.5000 0.5000
C1 C 0.0000 0.0000 0.5000
# * Fermi-level density of states: 0.524 states/eV per atom
# * V: 80 Å³/f.u.
# * formation enthalpy at 0 K: 2.022 eV/atom

# 2
# meta-GGA SCAN LiTcAs2, single point on PBEsol structure
data_LiTcAs2
_chemical_formula_sum 'Li1 Tc1 As2'
_symmetry_space_group_name_H-M 'P 4/m m m'
_symmetry_Int_Tables_number 123
_symmetry_space_group_name_Hall '-P 4 2'
_cell_length_a 3.0111
_cell_length_b 3.0111
_cell_length_c 6.9604
_cell_angle_alpha 90.00
_cell_angle_beta 90.00
_cell_angle_gamma 90.00
loop_
_atom_site_label
_atom_site_type_symbol
_atom_site_fract_x
_atom_site_fract_y
_atom_site_fract_z
Li1 Li 0.0000 0.0000 0.0000
Tc1 Tc 0.0000 0.0000 0.5000
As1 As 0.5000 0.5000 0.2832
# * Fermi-level density of states: 0.137 states/eV per atom
# * relative energy among the computed polymorphs: 0 meV/atom
# * V: 63 Å³/f.u.
# * formation enthalpy at 0 K: -0.410 eV/atom

# 3
# meta-GGA SCAN LiRh2, single point on PBEsol structure
data_LiRh2
_chemical_formula_sum 'Li4 Rh8'
_symmetry_space_group_name_H-M 'C 1 2/m 1'
_symmetry_Int_Tables_number 12
_cell_length_a 9.5358
_cell_length_b 2.6413
_cell_length_c 6.4447
_cell_angle_alpha 90.00
_cell_angle_beta 101.53
_cell_angle_gamma 90.00
loop_
_symmetry_equiv_pos_as_xyz
'x,y,z'
'-x,-y,-z'
'-x,y,-z'
'x,-y,z'
'x+1/2,y+1/2,z'
'-x+1/2,-y+1/2,-z'
'-x+1/2,y+1/2,-z'
'x+1/2,-y+1/2,z'
loop_
_atom_site_label
_atom_site_type_symbol
_atom_site_fract_x
_atom_site_fract_y
_atom_site_fract_z
Li1 Li 0.0167 0.0000 0.3143
Rh1 Rh 0.1354 0.5000 0.0189
Rh2 Rh 0.2200 0.5000 0.6532
# * Fermi-level density of states: 0.787 states/eV per atom
# * V: 40 Å³/f.u.
# * formation enthalpy at 0 K: -0.116 eV/atom

# 4
# meta-GGA SCAN BaHf3O, single point on PBEsol structure
data_BaHf3O
_chemical_formula_sum 'Ba1 Hf3 O1'
_symmetry_space_group_name_H-M 'P m -3 m'
_symmetry_Int_Tables_number 221
_symmetry_space_group_name_Hall '-P 4 2 3'
_cell_length_a 4.6226
_cell_length_b 4.6226
_cell_length_c 4.6226
_cell_angle_alpha 90.00
_cell_angle_beta 90.00
_cell_angle_gamma 90.00
loop_
_atom_site_label
_atom_site_type_symbol
_atom_site_fract_x
_atom_site_fract_y
_atom_site_fract_z
Ba1 Ba 0.0000 0.0000 0.0000
Hf1 Hf 0.0000 0.5000 0.5000
O1 O 0.5000 0.5000 0.5000
# * Fermi-level density of states: 0.840 states/eV per atom
# * raw formation energy: -0.321 eV per atom
# * V: 99 Å³/f.u.

# 5
# meta-GGA SCAN TaCrOs2, single point on PBEsol structure
data_TaCrOs2
_chemical_formula_sum 'Ta2 Cr2 Os4'
_symmetry_space_group_name_H-M 'I m m m'
_symmetry_Int_Tables_number 71
_symmetry_space_group_name_Hall '-I 2 2'
_cell_length_a 2.9027
_cell_length_b 4.4219
_cell_length_c 8.8930
_cell_angle_alpha 90.00
_cell_angle_beta 90.00
_cell_angle_gamma 90.00
loop_
_atom_site_label
_atom_site_type_symbol
_atom_site_fract_x
_atom_site_fract_y
_atom_site_fract_z
Ta1 Ta 0.0000 0.0000 0.0000
Cr1 Cr 0.0000 0.0000 0.5000
Os1 Os 0.0000 0.5000 0.2238
# * Fermi-level density of states: 0.651 states/eV per atom
# * V: 57 Å³/f.u.
# * formation enthalpy at 0 K: 0.013 eV/atom

# 6
# meta-GGA SCAN HRu2W, single point on PBEsol structure
data_HRu2W
_chemical_formula_sum 'H4 Ru8 W4'
_symmetry_space_group_name_H-M 'F m -3 m'
_symmetry_Int_Tables_number 225
_symmetry_space_group_name_Hall '-F 4 2 3'
_cell_length_a 5.8416
_cell_length_b 5.8416
_cell_length_c 5.8416
_cell_angle_alpha 90.00
_cell_angle_beta 90.00
_cell_angle_gamma 90.00
loop_
_atom_site_label
_atom_site_type_symbol
_atom_site_fract_x
_atom_site_fract_y
_atom_site_fract_z
H1 H 0.0000 0.0000 0.0000
Ru1 Ru 0.2500 0.2500 0.2500
W1 W 0.0000 0.0000 0.5000
# * Fermi-level density of states: 0.614 states/eV per atom
# * E_tot: -563.04 eV for the cell shown
# * V: 50 Å³/f.u.

# 7
# meta-GGA SCAN ZnO, single point on PBEsol structure
data_ZnO
_chemical_formula_sum 'Zn4 O4'
_symmetry_space_group_name_H-M 'F -4 3 m'
_symmetry_Int_Tables_number 216
_symmetry_space_group_name_Hall 'F -4 2 3'
_cell_length_a 4.5575
_cell_length_b 4.5575
_cell_length_c 4.5575
_cell_angle_alpha 90.00
_cell_angle_beta 90.00
_cell_angle_gamma 90.00
loop_
_atom_site_label
_atom_site_type_symbol
_atom_site_fract_x
_atom_site_fract_y
_atom_site_fract_z
Zn1 Zn 0.0000 0.0000 0.0000
O1 O 0.2500 0.2500 0.2500
# * raw formation energy: -1.608 eV per atom
# * V: 24 Å³/f.u.

# 8
# meta-GGA SCAN SrCa3, single point on PBEsol structure
data_SrCa3
_chemical_formula_sum 'Sr4 Ca12'
_symmetry_space_group_name_H-M 'C m c m'
_symmetry_Int_Tables_number 63
_symmetry_space_group_name_Hall '-C 2c 2'
_cell_length_a 7.8664
_cell_length_b 13.6044
_cell_length_c 6.4770
_cell_angle_alpha 90.00
_cell_angle_beta 90.00
_cell_angle_gamma 90.00
loop_
_atom_site_label
_atom_site_type_symbol
_atom_site_fract_x
_atom_site_fract_y
_atom_site_fract_z
Sr1 Sr 0.0000 0.1660 0.2500
Ca1 Ca 0.0000 0.3351 0.7500
Ca2 Ca 0.2462 0.4175 0.2500
# * Fermi-level density of states: 0.925 states/eV per atom
# * relative energy among the computed polymorphs: 8 meV/atom
# * V: 173 Å³/f.u.
# * formation enthalpy at 0 K: 0.019 eV/atom

# 9
# meta-GGA SCAN LaNiTeI2, single point on PBEsol structure
data_LaNiTeI2
_chemical_formula_sum 'La1 Ni1 Te1 I2'
_symmetry_space_group_name_H-M 'P 4/m m m'
_symmetry_Int_Tables_number 123
_symmetry_space_group_name_Hall '-P 4 2'
_cell_length_a 5.0999
_cell_length_b 5.0999
_cell_length_c 5.2315
_cell_angle_alpha 90.00
_cell_angle_beta 90.00
_cell_angle_gamma 90.00
loop_
_atom_site_label
_atom_site_type_symbol
_atom_site_fract_x
_atom_site_fract_y
_atom_site_fract_z
La1 La 0.0000 0.0000 0.0000
Ni1 Ni 0.5000 0.5000 0.5000
Te1 Te 0.5000 0.5000 0.0000
I1 I 0.0000 0.5000 0.5000
# * Fermi-level density of states: 0.400 states/eV per atom
# * raw formation energy: -0.603 eV per atom
# * V: 136 Å³/f.u.

# 10
# meta-GGA SCAN Li4SnB2O6, single point on PBEsol structure
data_Li4SnB2O6
_chemical_formula_sum 'Li8 Sn2 B4 O12'
_symmetry_space_group_name_H-M 'P n n m'
_symmetry_Int_Tables_number 58
_cell_length_a 8.7023
_cell_length_b 9.2021
_cell_length_c 3.4370
_cell_angle_alpha 90.00
_cell_angle_beta 90.00
_cell_angle_gamma 90.00
loop_
_symmetry_equiv_pos_as_xyz
'x,y,z'
'-x,-y,-z'
'-x,-y,z'
'x,y,-z'
'x+1/2,-y+1/2,-z+1/2'
'-x+1/2,y+1/2,z+1/2'
'-x+1/2,y+1/2,-z+1/2'
'x+1/2,-y+1/2,z+1/2'
loop_
_atom_site_label
_atom_site_type_symbol
_atom_site_fract_x
_atom_site_fract_y
_atom_site_fract_z
Li1 Li 0.0099 0.1934 0.0000
Li2 Li 0.1912 0.0248 0.5000
Sn1 Sn 0.0000 0.5000 0.5000
B1 B 0.2358 0.7733 0.5000
O1 O 0.0895 0.8300 0.5000
O2 O 0.1395 0.3704 0.0000
O3 O 0.2298 0.1261 0.0000
# * Fermi-level density of states: 0.000 states/eV per atom
# * raw formation energy: -2.222 eV per atom
# * V: 138 Å³/f.u.

# 11
# meta-GGA SCAN SbAsBr2, single point on PBEsol structure
data_SbAsBr2
_chemical_formula_sum 'Sb3 As3 Br6'
_symmetry_space_group_name_H-M 'R -3 m'
_symmetry_Int_Tables_number 166
_symmetry_space_group_name_Hall '-R 3 2"'
_cell_length_a 3.3792
_cell_length_b 3.3792
_cell_length_c 30.0993
_cell_angle_alpha 90.00
_cell_angle_beta 90.00
_cell_angle_gamma 120.00
loop_
_atom_site_label
_atom_site_type_symbol
_atom_site_fract_x
_atom_site_fract_y
_atom_site_fract_z
Sb1 Sb 0.0000 0.0000 0.0000
As1 As 0.0000 0.0000 0.5000
Br1 Br 0.0000 0.0000 0.0927
# * Fermi-level density of states: 0.510 states/eV per atom
# * raw formation energy: 0.249 eV per atom
# * relative energy among the computed polymorphs: 35 meV/atom
# * V: 99 Å³/f.u.

# 12
# meta-GGA SCAN Sr2SmNbO6, single point on PBEsol structure
data_Sr2SmNbO6
_chemical_formula_sum 'Sr4 Sm2 Nb2 O12'
_symmetry_space_group_name_H-M 'P 1 21/c 1'
_symmetry_Int_Tables_number 14
_cell_length_a 5.8219
_cell_length_b 5.9700
_cell_length_c 10.1156
_cell_angle_alpha 90.00
_cell_angle_beta 124.84
_cell_angle_gamma 90.00
loop_
_symmetry_equiv_pos_as_xyz
'x,y,z'
'-x,-y,-z'
'-x,y+1/2,-z+1/2'
'x,-y+1/2,z+1/2'
loop_
_atom_site_label
_atom_site_type_symbol
_atom_site_fract_x
_atom_site_fract_y
_atom_site_fract_z
Sr1 Sr 0.2388 0.0456 0.2513
Sm1 Sm 0.5000 0.0000 0.0000
Nb1 Nb 0.0000 0.0000 0.5000
O1 O 0.1329 0.2239 0.9455
O2 O 0.2294 0.6908 0.9526
O3 O 0.3268 0.0340 0.7320
# * Fermi-level density of states: 0.000 states/eV per atom
# * raw formation energy: -3.296 eV per atom
# * V: 144 Å³/f.u.

# 13
# meta-GGA SCAN NbCoP, single point on PBEsol structure
data_NbCoP
_chemical_formula_sum 'Nb4 Co4 P4'
_symmetry_space_group_name_H-M 'P n m a'
_symmetry_Int_Tables_number 62
_cell_length_a 6.0824
_cell_length_b 3.5750
_cell_length_c 6.8973
_cell_angle_alpha 90.00
_cell_angle_beta 90.00
_cell_angle_gamma 90.00
loop_
_symmetry_equiv_pos_as_xyz
'x,y,z'
'-x,-y,-z'
'-x+1/2,-y,z+1/2'
'x+1/2,y,-z+1/2'
'x+1/2,-y+1/2,-z+1/2'
'-x+1/2,y+1/2,z+1/2'
'-x,y+1/2,-z'
'x,-y+1/2,z'
loop_
_atom_site_label
_atom_site_type_symbol
_atom_site_fract_x
_atom_site_fract_y
_atom_site_fract_z
Nb1 Nb 0.0252 0.2500 0.1729
Co1 Co 0.1459 0.2500 0.5614
P1 P 0.2207 0.7500 0.3803
# * Fermi-level density of states: 0.670 states/eV per atom
# * V: 37 Å³/f.u.
# * formation enthalpy at 0 K: -0.838 eV/atom

# 14
# meta-GGA SCAN Cr2IrSe, single point on PBEsol structure
data_Cr2IrSe
_chemical_formula_sum 'Cr4 Ir2 Se2'
_symmetry_space_group_name_H-M 'C 1 m 1'
_symmetry_Int_Tables_number 8
_cell_length_a 8.7925
_cell_length_b 2.8403
_cell_length_c 4.3991
_cell_angle_alpha 90.00
_cell_angle_beta 95.77
_cell_angle_gamma 90.00
loop_
_symmetry_equiv_pos_as_xyz
'x,y,z'
'x,-y,z'
'x+1/2,y+1/2,z'
'x+1/2,-y+1/2,z'
loop_
_atom_site_label
_atom_site_type_symbol
_atom_site_fract_x
_atom_site_fract_y
_atom_site_fract_z
Cr1 Cr 0.0000 0.0000 0.0000
Cr2 Cr 0.2250 0.5000 0.2764
Ir1 Ir 0.4614 0.0000 0.4662
Se1 Se 0.2458 0.0000 0.8084
# * Fermi-level density of states: 0.712 states/eV per atom
# * raw formation energy: 0.020 eV per atom
# * V: 55 Å³/f.u.

# 15
# meta-GGA SCAN CoIr2Os, single point on PBEsol structure
data_CoIr2Os
_chemical_formula_sum 'Co3 Ir6 Os3'
_symmetry_space_group_name_H-M 'R 3 m'
_symmetry_Int_Tables_number 160
_symmetry_space_group_name_Hall 'R 3 -2"'
_cell_length_a 2.6742
_cell_length_b 2.6742
_cell_length_c 25.7061
_cell_angle_alpha 90.00
_cell_angle_beta 90.00
_cell_angle_gamma 120.00
loop_
_atom_site_label
_atom_site_type_symbol
_atom_site_fract_x
_atom_site_fract_y
_atom_site_fract_z
Co1 Co 0.0000 0.0000 0.0000
Ir1 Ir 0.0000 0.0000 0.5015
Ir2 Ir 0.0000 0.0000 0.7466
Os1 Os 0.0000 0.0000 0.2540
# * Fermi-level density of states: 0.963 states/eV per atom
# * relative energy among the computed polymorphs: 75 meV/atom
# * V: 53 Å³/f.u.
# * formation enthalpy at 0 K: 0.091 eV/atom

# 16
# meta-GGA SCAN Li2FeO2F, single point on PBEsol structure
data_Li2FeO2F
_chemical_formula_sum 'Li16 Fe8 O16 F8'
_symmetry_space_group_name_H-M 'C 1 2/c 1'
_symmetry_Int_Tables_number 15
_cell_length_a 5.1115
_cell_length_b 8.7867
_cell_length_c 9.6653
_cell_angle_alpha 90.00
_cell_angle_beta 99.38
_cell_angle_gamma 90.00
loop_
_symmetry_equiv_pos_as_xyz
'x,y,z'
'-x,-y,-z'
'-x,y,-z+1/2'
'x,-y,z+1/2'
'x+1/2,y+1/2,z'
'-x+1/2,-y+1/2,-z'
'-x+1/2,y+1/2,-z+1/2'
'x+1/2,-y+1/2,z+1/2'
loop_
_atom_site_label
_atom_site_type_symbol
_atom_site_fract_x
_atom_site_fract_y
_atom_site_fract_z
Li1 Li 0.0000 0.0914 0.2500
Li2 Li 0.0000 0.2688 0.7500
Li3 Li 0.0000 0.4058 0.2500
Li4 Li 0.2500 0.2500 0.5000
Fe1 Fe 0.2159 0.4056 0.0008
O1 O 0.1257 0.4273 0.6178
O2 O 0.1340 0.2415 0.1187
F1 F 0.1215 0.0836 0.6250
# * raw formation energy: -2.237 eV per atom
# * relative energy among the computed polymorphs: 80 meV/atom
# * V: 54 Å³/f.u.

# 17
# meta-GGA SCAN Ca2LaBe, single point on PBEsol structure
data_Ca2LaBe
_chemical_formula_sum 'Ca6 La3 Be3'
_symmetry_space_group_name_H-M 'R -3 m'
_symmetry_Int_Tables_number 166
_symmetry_space_group_name_Hall '-R 3 2"'
_cell_length_a 3.6926
_cell_length_b 3.6926
_cell_length_c 31.5921
_cell_angle_alpha 90.00
_cell_angle_beta 90.00
_cell_angle_gamma 120.00
loop_
_atom_site_label
_atom_site_type_symbol
_atom_site_fract_x
_atom_site_fract_y
_atom_site_fract_z
Ca1 Ca 0.0000 0.0000 0.2307
La1 La 0.0000 0.0000 0.0000
Be1 Be 0.0000 0.0000 0.5000
# * Fermi-level density of states: 0.882 states/eV per atom
# * V: 124 Å³/f.u.
# * formation enthalpy at 0 K: 0.373 eV/atom

# 18
# meta-GGA SCAN YRhS2, single point on PBEsol structure
data_YRhS2
_chemical_formula_sum 'Y3 Rh3 S6'
_symmetry_space_group_name_H-M 'R -3 m'
_symmetry_Int_Tables_number 166
_symmetry_space_group_name_Hall '-R 3 2"'
_cell_length_a 3.5836
_cell_length_b 3.5836
_cell_length_c 22.8410
_cell_angle_alpha 90.00
_cell_angle_beta 90.00
_cell_angle_gamma 120.00
loop_
_atom_site_label
_atom_site_type_symbol
_atom_site_fract_x
_atom_site_fract_y
_atom_site_fract_z
Y1 Y 0.0000 0.0000 0.0000
Rh1 Rh 0.0000 0.0000 0.5000
S1 S 0.0000 0.0000 0.1164
# * Fermi-level density of states: 0.202 states/eV per atom
# * raw formation energy: -0.741 eV per atom
# * V: 85 Å³/f.u.

# 19
# meta-GGA SCAN Be2TcCl, single point on PBEsol structure
data_Be2TcCl
_chemical_formula_sum 'Be4 Tc2 Cl2'
_symmetry_space_group_name_H-M 'C 1 m 1'
_symmetry_Int_Tables_number 8
_cell_length_a 7.5404
_cell_length_b 2.7531
_cell_length_c 5.6975
_cell_angle_alpha 90.00
_cell_angle_beta 97.44
_cell_angle_gamma 90.00
loop_
_symmetry_equiv_pos_as_xyz
'x,y,z'
'x,-y,z'
'x+1/2,y+1/2,z'
'x+1/2,-y+1/2,z'
loop_
_atom_site_label
_atom_site_type_symbol
_atom_site_fract_x
_atom_site_fract_y
_atom_site_fract_z
Be1 Be 0.0000 0.0000 0.0000
Be2 Be 0.2391 0.5000 0.1768
Tc1 Tc 0.4779 0.0000 0.3200
Cl1 Cl 0.0688 0.0000 0.6667
# * Fermi-level density of states: 0.314 states/eV per atom
# * raw formation energy: 0.072 eV per atom
# * V: 59 Å³/f.u.

# 20
# meta-GGA SCAN Li2FeCSO7, single point on PBEsol structure
data_Li2FeCSO7
_chemical_formula_sum 'Li4 Fe2 C2 S2 O14'
_symmetry_space_group_name_H-M 'P 1 21/m 1'
_symmetry_Int_Tables_number 11
_cell_length_a 4.8689
_cell_length_b 6.3324
_cell_length_c 8.9163
_cell_angle_alpha 90.00
_cell_angle_beta 96.94
_cell_angle_gamma 90.00
loop_
_symmetry_equiv_pos_as_xyz
'x,y,z'
'-x,-y,-z'
'-x,y+1/2,-z'
'x,-y+1/2,z'
loop_
_atom_site_label
_atom_site_type_symbol
_atom_site_fract_x
_atom_site_fract_y
_atom_site_fract_z
Li1 Li 0.2136 0.0169 0.3209
Fe1 Fe 0.2333 0.7500 0.8538
C1 C 0.2744 0.7500 0.5699
S1 S 0.2475 0.2500 0.9072
O1 O 0.0304 0.7500 0.6153
O2 O 0.1461 0.0627 0.8161
O3 O 0.1456 0.2500 0.0563
O4 O 0.3100 0.7500 0.4308
O5 O 0.4443 0.7500 0.0696
O6 O 0.4847 0.7500 0.6777
# * raw formation energy: -1.772 eV per atom
# * V: 136 Å³/f.u.